# LiLa2Al2Rh5

Crystalline LiLa2Al2Rh5 at its relaxed geometry (PBE, the Alexandria database).

Unit cell a=3.5112 b=10.1131 c=10.1131 alpha=90.00 beta=90.00 gamma=90.00
Element x y z (fractional)
1 Rh 0.5000 0.5000 0.0000
2 Rh 0.5000 0.0648 0.7896
3 Rh 0.5000 0.9352 0.2104
4 Rh 0.5000 0.2104 0.0648
5 Rh 0.5000 0.5648 0.7104
6 Rh 0.5000 0.4352 0.2896
7 Rh 0.5000 0.7896 0.9352
8 Rh 0.5000 0.0000 0.5000
9 Rh 0.5000 0.7104 0.4352
10 Rh 0.5000 0.2896 0.5648
11 Al 0.0000 0.3786 0.1214
12 Al 0.0000 0.6214 0.8786
13 Al 0.0000 0.8786 0.3786
14 Al 0.0000 0.1214 0.6214
15 La 0.0000 0.3222 0.8222
16 La 0.0000 0.8222 0.6778
17 La 0.0000 0.1778 0.3222
18 La 0.0000 0.6778 0.1778
19 Li 0.0000 0.0000 0.0000
20 Li 0.0000 0.5000 0.5000

## Properties
- DOS at the Fermi energy (states/eV/cell) = 5.56
- formation enthalpy at 0 K (kJ per mole of atoms) = -61.2
- DFT total energy (eV per atom) = -6.235